# PuTh2In

PuTh2In after structural relaxation (PBE, the Alexandria database).

**Formation energy**: -0.474 eV/f.u.
**SG**: P4/mmm

Cell lengths 5.0183, 5.0183, 4.5420 Å; angles 90.00, 90.00, 90.00 degrees
With the nearest neighbours (Å) after each atom.
Atoms (fractional coordinates):
Pu  0.0000  0.0000  0.0000  8 Th 3.38, 4 In 3.55
Th  0.0000  0.5000  0.5000  4 In 3.38, 4 Pu 3.38, 4 Th 3.55
Th  0.5000  0.0000  0.5000  4 In 3.38, 4 Pu 3.38, 4 Th 3.55
In  0.5000  0.5000  0.0000  8 Th 3.38, 4 Pu 3.55

***

# Ac2TmTl2

Ac2TmTl2 after structural relaxation (PBE, the Alexandria database).

**Formation energy**: -1.357 eV/f.u.
**SG**: Immm

Cell lengths 6.6206, 6.6206, 6.6206 Å; angles 135.88, 115.30, 81.65 degrees
With the nearest neighbours (Å) after each atom.
Atoms (fractional coordinates):
Ac  0.1957  0.1957  0.0000  6 Tl 3.56-3.60, 1 Ac 3.92, 2 Tm 3.93
Ac  0.8043  0.8043  0.0000  6 Tl 3.56-3.60, 1 Ac 3.92, 2 Tm 3.93
Tm  0.5000  0.0000  0.5000  4 Tl 3.13
Tl  0.2306  0.5000  0.7306  2 Tm 3.13, 1 Tl 3.27
Tl  0.7694  0.5000  0.2694  2 Tm 3.13, 1 Tl 3.27

***

no.,polymorph energy (0 for the lowest one) (eV/atom),calculated total energy (eV/atom),N(E_F) (states/eV/atom)
1,0.000,-8.10,2.612
2,0.012,-3.76,1.203